[1]
This record from the Alexandria database describes crystalline ThTc2P at its relaxed geometry. The functional is PBE-GGA.

Geometry as POSCAR:
```
ThTc2P
1.0
2.0544 1.1861 5.2773
-2.0544 1.1861 5.2773
0.0000 -2.3722 5.2773
Th Tc P
1 2 1
Direct
0.0000 0.0000 0.0000 Th
0.2047 0.2047 0.2047 Tc
0.7953 0.7953 0.7953 Tc
0.5000 0.5000 0.5000 P
```

The density of states at the Fermi level is 4.5 states/eV/f.u. As for the energy: -34.582 eV per cell. The formation energy is -255 meV/atom. The space group is R-3m.

***

[2]
This record from the Alexandria database describes crystalline ThTc3P2 at its relaxed geometry. The functional is PBE-GGA.

Geometry as POSCAR:
```
ThTc3P2
1.0
7.9820 -2.0371 0.0000
7.9820 2.0371 0.0000
-2.7509 0.0000 9.1604
Th Tc P
3 9 6
Direct
0.0000 0.0000 0.0000 Th
0.1608 0.1608 0.7091 Th
0.8392 0.8392 0.2909 Th
0.0396 0.0396 0.3649 Tc
0.2095 0.2095 0.3868 Tc
0.3206 0.3206 0.0260 Tc
0.3825 0.3825 0.7986 Tc
0.5000 0.5000 0.5000 Tc
0.6175 0.6175 0.2014 Tc
0.6794 0.6794 0.9740 Tc
0.7905 0.7905 0.6132 Tc
0.9604 0.9604 0.6351 Tc
0.1980 0.1980 0.1300 P
0.3531 0.3531 0.5412 P
0.4619 0.4619 0.2130 P
0.5381 0.5381 0.7870 P
0.6469 0.6469 0.4588 P
0.8020 0.8020 0.8700 P
```

The density of states at the Fermi level is 5.2 states/eV/f.u. As for the energy: -160.347 eV per cell. The formation energy is -685 meV/atom. The space group is C2/m.

***

[3]
This record from the Alexandria database describes crystalline ThTcP2 at its relaxed geometry. The functional is PBE-GGA.

Geometry as POSCAR:
```
ThTcP2
1.0
-1.9942 1.9942 5.0026
1.9942 -1.9942 5.0026
1.9942 1.9942 -5.0026
Th Tc P
1 1 2
Direct
0.0000 0.0000 0.0000 Th
0.7500 0.2500 0.5000 Tc
0.3707 0.3707 0.0000 P
0.6293 0.6293 0.0000 P
```

The density of states at the Fermi level is 4.1 states/eV/f.u. As for the energy: -31.629 eV per cell. The formation energy is -756 meV/atom. The space group is I-4m2.

***

[4]
This record from the Alexandria database describes crystalline ThTcP2 at its relaxed geometry. The functional is PBE-GGA.

Geometry as POSCAR:
```
ThTcP2
1.0
2.0788 1.2002 4.8296
-2.0788 1.2002 4.8296
0.0000 -2.4004 4.8296
Th Tc P
1 1 2
Direct
0.0000 0.0000 0.0000 Th
0.5000 0.5000 0.5000 Tc
0.2159 0.2159 0.2159 P
0.7841 0.7841 0.7841 P
```

The density of states at the Fermi level is 2.5 states/eV/f.u. As for the energy: -32.412 eV per cell. The formation energy is -952 meV/atom. The space group is R-3m.

***

[5]
This record from the Alexandria database describes crystalline ThVTcP3 at its relaxed geometry. The functional is PBE-GGA.

Geometry as POSCAR:
```
ThVTcP3
1.0
2.9445 -5.8045 0.0000
2.9445 5.8045 0.0000
0.0000 0.0000 6.6195
Th V Tc P
2 2 2 6
Direct
0.1909 0.8091 0.7500 Th
0.8091 0.1909 0.2500 Th
0.4767 0.5233 0.2500 V
0.5233 0.4767 0.7500 V
0.0966 0.9034 0.2500 Tc
0.9034 0.0966 0.7500 Tc
0.2142 0.2142 0.0000 P
0.2142 0.2142 0.5000 P
0.2892 0.7108 0.2500 P
0.7108 0.2892 0.7500 P
0.7858 0.7858 0.0000 P
0.7858 0.7858 0.5000 P
```

The density of states at the Fermi level is 4.3 states/eV/f.u. As for the energy: -93.998 eV per cell. The formation energy is -644 meV/atom. The space group is Cmcm.

***

[6]
This record from the Alexandria database describes crystalline Ti2TcP at its relaxed geometry. The functional is PBE-GGA.

Geometry as POSCAR:
```
Ti2TcP
1.0
-3.4366 3.4366 2.6242
3.4366 -3.4366 2.6242
3.4366 3.4366 -2.6242
Ti Tc P
4 2 2
Direct
0.1136 0.6250 0.9886 Ti
0.3750 0.3636 0.4886 Ti
0.6364 0.1250 0.0114 Ti
0.8750 0.8864 0.5114 Ti
0.2500 0.7500 0.5000 Tc
0.5000 0.5000 0.0000 Tc
0.0000 0.0000 0.0000 P
0.7500 0.2500 0.5000 P
```

The density of states at the Fermi level is 3.8 states/eV/f.u. As for the energy: -64.297 eV per cell. The formation energy is -146 meV/atom. The space group is I-42d.

***

[7]
This record from the Alexandria database describes crystalline TiTc3P at its relaxed geometry. The functional is PBE-GGA.

Geometry as POSCAR:
```
TiTc3P
1.0
4.3481 0.0000 0.0000
0.0000 4.3481 0.0000
0.0000 0.0000 4.3481
Ti Tc P
1 3 1
Direct
0.0000 0.0000 0.0000 Ti
0.0000 0.5000 0.5000 Tc
0.5000 0.0000 0.5000 Tc
0.5000 0.5000 0.0000 Tc
0.5000 0.5000 0.5000 P
```

The density of states at the Fermi level is 3.8 states/eV/f.u. As for the energy: -43.571 eV per cell. The formation energy is 166 meV/atom. The space group is Pm-3m.

***

[8]
This record from the Alexandria database describes crystalline Ti2TcP at its relaxed geometry. The functional is PBE-GGA.

Geometry as POSCAR:
```
Ti2TcP
1.0
1.5997 0.9236 7.0289
-1.5997 0.9236 7.0289
0.0000 -1.8471 7.0289
Ti Tc P
2 1 1
Direct
0.2427 0.2427 0.2427 Ti
0.7573 0.7573 0.7573 Ti
0.0000 0.0000 0.0000 Tc
0.5000 0.5000 0.5000 P
```

The density of states at the Fermi level is 3.3 states/eV/f.u. As for the energy: -33.631 eV per cell. The formation energy is -516 meV/atom. The space group is R-3m.

***

[9]
This record from the Alexandria database describes crystalline TiTc3P at its relaxed geometry. The functional is PBE-GGA.

Geometry as POSCAR:
```
TiTc3P
1.0
4.5233 0.0000 0.0000
0.0000 4.5233 0.0000
0.0000 0.0000 4.5233
Ti Tc P
1 3 1
Direct
0.0000 0.0000 0.0000 Ti
0.0000 0.0000 0.5000 Tc
0.0000 0.5000 0.0000 Tc
0.5000 0.0000 0.0000 Tc
0.5000 0.5000 0.5000 P
```

The density of states at the Fermi level is 6.3 states/eV/f.u. As for the energy: -36.368 eV per cell. The formation energy is 1607 meV/atom. The space group is Pm-3m.

***

[10]
This record from the Alexandria database describes crystalline Ti2TcP2 at its relaxed geometry. The functional is PBE-GGA.

Geometry as POSCAR:
```
Ti2TcP2
1.0
6.3341 0.0000 0.0000
0.0000 6.3341 0.0000
0.0000 0.0000 3.4605
Ti Tc P
4 2 4
Direct
0.1605 0.3395 0.0000 Ti
0.3395 0.8395 0.0000 Ti
0.6605 0.1605 0.0000 Ti
0.8395 0.6605 0.0000 Ti
0.0000 0.0000 0.5000 Tc
0.5000 0.5000 0.5000 Tc
0.1396 0.6396 0.5000 P
0.3604 0.1396 0.5000 P
0.6396 0.8604 0.5000 P
0.8604 0.3604 0.5000 P
```

The density of states at the Fermi level is 2.6 states/eV/f.u. As for the energy: -83.426 eV per cell. The formation energy is -948 meV/atom. The space group is P4/mbm.

***

[11]
This record from the Alexandria database describes crystalline Tl2TcP at its relaxed geometry. The functional is PBE-GGA.

Geometry as POSCAR:
```
Tl2TcP
1.0
2.2353 -7.0341 0.0000
2.2353 7.0341 0.0000
0.0000 0.0000 3.2008
Tl Tc P
2 1 1
Direct
0.1688 0.8312 0.0000 Tl
0.8312 0.1688 0.0000 Tl
0.0000 0.0000 0.5000 Tc
0.5000 0.5000 0.5000 P
```

The density of states at the Fermi level is 2.4 states/eV/f.u. As for the energy: -19.273 eV per cell. The formation energy is 309 meV/atom. The space group is Cmmm.

***

[12]
This record from the Alexandria database describes crystalline Tl2TcP at its relaxed geometry. The functional is PBE-GGA.

Geometry as POSCAR:
```
Tl2TcP
1.0
0.0000 3.4736 3.4736
3.4736 0.0000 3.4736
3.4736 3.4736 0.0000
Tl Tc P
2 1 1
Direct
0.0000 0.0000 0.0000 Tl
0.2500 0.2500 0.2500 Tl
0.7500 0.7500 0.7500 Tc
0.5000 0.5000 0.5000 P
```

The density of states at the Fermi level is 4.9 states/eV/f.u. As for the energy: -16.837 eV per cell. The formation energy is 918 meV/atom. The space group is F-43m.

***

[13]
This record from the Alexandria database describes crystalline Tl4TcP at its relaxed geometry. The functional is PBE-GGA.

Geometry as POSCAR:
```
Tl4TcP
1.0
0.0000 4.3469 4.3469
4.3469 0.0000 4.3469
4.3469 4.3469 0.0000
Tl Tc P
4 1 1
Direct
0.1248 0.1248 0.1248 Tl
0.1248 0.1248 0.6255 Tl
0.1248 0.6255 0.1248 Tl
0.6255 0.1248 0.1248 Tl
0.5000 0.5000 0.5000 Tc
0.7500 0.7500 0.7500 P
```

The density of states at the Fermi level is 5.1 states/eV/f.u. As for the energy: -18.726 eV per cell. The formation energy is 1086 meV/atom. The space group is F-43m.

***

[14]
This record from the Alexandria database describes crystalline Tl2TcP at its relaxed geometry. The functional is PBE-GGA.

Geometry as POSCAR:
```
Tl2TcP
1.0
1.6475 0.9512 9.2959
-1.6475 0.9512 9.2959
0.0000 -1.9024 9.2959
Tl Tc P
2 1 1
Direct
0.0000 0.0000 0.0000 Tl
0.2289 0.2289 0.2289 Tl
0.7492 0.7492 0.7492 Tc
0.4641 0.4641 0.4641 P
```

The density of states at the Fermi level is 2.4 states/eV/f.u. As for the energy: -20.142 eV per cell. The formation energy is 92 meV/atom. The space group is R3m.

***

[15]
This record from the Alexandria database describes crystalline TlTcP3 at its relaxed geometry. The functional is PBE-GGA.

Geometry as POSCAR:
```
TlTcP3
1.0
4.7126 0.0000 0.0000
0.0000 4.7126 0.0000
0.0000 0.0000 4.7126
Tl Tc P
1 1 3
Direct
0.0000 0.0000 0.0000 Tl
0.5000 0.5000 0.5000 Tc
0.0000 0.5000 0.5000 P
0.5000 0.0000 0.5000 P
0.5000 0.5000 0.0000 P
```

The density of states at the Fermi level is 4.8 states/eV/f.u. As for the energy: -26.859 eV per cell. The formation energy is 421 meV/atom. The space group is Pm-3m.

***

[16]
This record from the Alexandria database describes crystalline TlTc4P at its relaxed geometry. The functional is PBE-GGA.

Geometry as POSCAR:
```
TlTc4P
1.0
0.0000 3.6946 3.6946
3.6946 0.0000 3.6946
3.6946 3.6946 0.0000
Tl Tc P
1 4 1
Direct
0.0000 0.0000 0.0000 Tl
0.1286 0.6238 0.6238 Tc
0.6238 0.1286 0.6238 Tc
0.6238 0.6238 0.1286 Tc
0.6238 0.6238 0.6238 Tc
0.2500 0.2500 0.2500 P
```

The density of states at the Fermi level is 4.9 states/eV/f.u. As for the energy: -44.979 eV per cell. The formation energy is 710 meV/atom. The space group is F-43m.

***

[17]
This record from the Alexandria database describes crystalline Tl2TcP at its relaxed geometry. The functional is PBE-GGA.

Geometry as POSCAR:
```
Tl2TcP
1.0
3.1599 0.0000 0.0000
0.0000 3.1599 0.0000
0.0000 0.0000 8.8192
Tl Tc P
2 1 1
Direct
0.0000 0.0000 0.0000 Tl
0.5000 0.5000 0.3640 Tl
0.5000 0.5000 0.7351 Tc
0.0000 0.0000 0.6345 P
```

The density of states at the Fermi level is 1.0 states/eV/f.u. As for the energy: -20.483 eV per cell. The formation energy is 6 meV/atom. The space group is P4mm.

***

[18]
This record from the Alexandria database describes crystalline Tl2TcP at its relaxed geometry. The functional is PBE-GGA.

Geometry as POSCAR:
```
Tl2TcP
1.0
1.8905 -2.5133 0.0000
1.8905 2.5133 0.0000
0.0000 0.0000 8.7378
Tl Tc P
2 1 1
Direct
0.0000 0.0000 0.2424 Tl
0.0000 0.0000 0.7576 Tl
0.5000 0.5000 0.0000 Tc
0.5000 0.5000 0.5000 P
```

The density of states at the Fermi level is 3.3 states/eV/f.u. As for the energy: -17.001 eV per cell. The formation energy is 877 meV/atom. The space group is Cmmm.

***

[19]
This record from the Alexandria database describes crystalline Tl2TcP at its relaxed geometry. The functional is PBE-GGA.

Geometry as POSCAR:
```
Tl2TcP
1.0
3.6307 0.0000 0.0000
0.0000 3.6307 0.0000
0.0000 0.0000 5.9590
Tl Tc P
2 1 1
Direct
0.0000 0.0000 0.2477 Tl
0.0000 0.0000 0.7523 Tl
0.5000 0.5000 0.0000 Tc
0.5000 0.5000 0.5000 P
```

The density of states at the Fermi level is 3.1 states/eV/f.u. As for the energy: -17.238 eV per cell. The formation energy is 818 meV/atom. The space group is P4/mmm.

***

[20]
This record from the Alexandria database describes crystalline Tl2TcP at its relaxed geometry. The functional is PBE-GGA.

Geometry as POSCAR:
```
Tl2TcP
1.0
3.5313 0.0000 0.0000
0.0000 4.6048 0.0000
0.0000 0.0000 5.0270
Tl Tc P
2 1 1
Direct
0.0000 0.0000 0.0000 Tl
0.5000 0.0000 0.5000 Tl
0.0000 0.5000 0.5000 Tc
0.5000 0.5000 0.0000 P
```

The density of states at the Fermi level is 3.2 states/eV/f.u. As for the energy: -17.004 eV per cell. The formation energy is 876 meV/atom. The space group is Pmmm.